DFT (PBE) results for a geometry-optimized BiSbAu structure.

For the formation energy (no corrections), the calculation gives 0.08 eV/atom. The calculation puts the energy relative to the lowest polymorph listed for this composition at 122 meV/atom. For the raw total energy, the calculation gives -3.6834 eV per atom.

The structure belongs to space group Fddd (No. 70, origin choice 2); the cell edges are 5.846, 9.947 and 21.369 Å and the angles 90.00°, 90.00° and 90.00°. The asymmetric unit holds Bi at (0.125, 0.306, 0.125), Sb at (0.125, 0.125, 0.552) and Au at (0.125, 0.125, 0.009).